<one>
Compound: CaP2ICl
Source: Alexandria via LeMat-Bulk
Functional: PBE
Structure: relaxed

Results
Its crystal system is tetragonal. The calculation puts the density of states at the Fermi level at 4.72 states/eV/cell.

Lattice parameters (Å, degrees): 5.181 5.181 5.419 90.00 90.00 90.00
Space group P4/mmm (No. 123)
Asymmetric unit:
Ca1 0.000 0.000 0.000 x1
P1 0.000 0.500 0.500 x2
I1 0.500 0.500 0.500 x1
Cl1 0.500 0.500 0.000 x1

<two>
Compound: CaP2ICl
Source: Alexandria via LeMat-Bulk
Functional: PBE
Structure: relaxed

Results
Its crystal system is tetragonal. The calculation puts the density of states at the Fermi level at 4.64 states/eV/cell.

Lattice parameters (Å, degrees): 5.612 5.612 5.059 90.00 90.00 90.00
Space group P4/mmm (No. 123)
Asymmetric unit:
Ca1 0.000 0.000 0.000 x1
P1 0.000 0.500 0.000 x2
I1 0.500 0.500 0.500 x1
Cl1 0.000 0.000 0.500 x1

Most stable structure, least stable structure: <two>, <one>.

<one>
Compound: CaInCl2
Source: Alexandria via LeMat-Bulk
Functional: PBE
Structure: relaxed

Results
Its crystal system is tetragonal. The calculation puts the density of states at the Fermi level at 1.49 states/eV/cell.

Lattice parameters (Å, degrees): 3.919 3.919 7.683 90.00 90.00 90.00
Space group P4mm (No. 99)
Asymmetric unit:
Ca1 0.000 0.000 0.000 x1
In1 0.500 0.500 0.608 x1
Cl1 0.000 0.000 0.334 x1
Cl2 0.500 0.500 0.031 x1

<two>
Compound: CaInCl2
Source: Alexandria via LeMat-Bulk
Functional: PBE
Structure: relaxed

Results
Its crystal system is orthorhombic. The calculation puts the density of states at the Fermi level at 2.65 states/eV/cell.

Lattice parameters (Å, degrees): 3.790 6.626 9.995 90.00 90.00 90.00
Space group Immm (No. 71)
Asymmetric unit:
Ca1 0.000 0.000 0.000 x2
In1 0.000 0.000 0.500 x2
Cl1 0.000 0.500 0.313 x4

<three>
Compound: CaInCl2
Source: Alexandria via LeMat-Bulk
Functional: PBE
Structure: relaxed

Results
Its crystal system is monoclinic. The calculation puts the density of states at the Fermi level at 3.08 states/eV/cell.

Lattice parameters (Å, degrees): 7.151 8.295 5.430 90.00 130.13 90.00
Space group C2/m (No. 12)
Asymmetric unit:
Ca1 0.000 0.000 0.000 x2
In1 0.000 0.500 0.000 x2
Cl1 0.250 0.250 0.500 x4

<four>
Compound: CaInCl2
Source: Alexandria via LeMat-Bulk
Functional: PBE
Structure: relaxed

Results
Its crystal system is orthorhombic. The calculation puts the density of states at the Fermi level at 2.51 states/eV/cell.

Lattice parameters (Å, degrees): 3.583 3.727 20.170 90.00 90.00 90.00
Space group Imm2 (No. 44)
Asymmetric unit:
Ca1 0.000 0.000 0.000 x2
In1 0.000 0.500 0.257 x2
Cl1 0.000 0.000 0.441 x2
Cl2 0.000 0.500 0.594 x2

Most stable structure, least stable structure: <four>, <three>.

<one>
Compound: CaInCl2
Source: Alexandria via LeMat-Bulk
Functional: PBE
Structure: relaxed

Results
Its crystal system is orthorhombic. The calculation puts the density of states at the Fermi level at 2.15 states/eV/cell.

Lattice parameters (Å, degrees): 3.826 4.490 6.254 90.00 90.00 90.00
Space group Pmmm (No. 47)
Asymmetric unit:
Ca1 0.000 0.000 0.000 x1
In1 0.500 0.000 0.500 x1
Cl1 0.000 0.500 0.500 x1
Cl2 0.500 0.500 0.000 x1

<two>
Compound: CaInCl2
Source: Alexandria via LeMat-Bulk
Functional: PBE
Structure: relaxed

Results
Its crystal system is trigonal. The calculation puts the density of states at the Fermi level at 2.96 states/eV/cell.

Lattice parameters (Å, degrees): 4.4686 4.4686 26.9505 90.00 90.00 120.00
Space group R-3m (No. 166, hexagonal axes)
Asymmetric unit:
Ca1 0.0000 0.0000 0.0000 x3
In1 0.0000 0.0000 0.5000 x3
Cl1 0.0000 0.0000 0.0967 x6

Most stable structure, least stable structure: <one>, <two>.

<one>
Compound: CaInCl2
Source: Alexandria via LeMat-Bulk
Functional: PBE
Structure: relaxed

Results
Its crystal system is monoclinic. The calculation puts the density of states at the Fermi level at 0.59 states/eV/cell.

Lattice parameters (Å, degrees): 4.343 5.290 6.758 90.00 108.70 90.00
Space group Pm (No. 6)
Asymmetric unit:
Ca1 0.000 0.000 0.000 x1
In1 0.312 0.500 0.622 x1
Cl1 0.620 0.000 0.240 x1
Cl2 0.976 0.500 0.951 x1

<two>
Compound: CaInCl2
Source: Alexandria via LeMat-Bulk
Functional: PBE
Structure: relaxed

Results
Its crystal system is orthorhombic. The calculation puts the density of states at the Fermi level at 3.30 states/eV/cell.

Lattice parameters (Å, degrees): 6.899 6.914 4.314 90.00 90.00 90.00
Space group Cmmm (No. 65)
Asymmetric unit:
Ca1 0.000 0.000 0.000 x2
In1 0.000 0.500 0.000 x2
Cl1 0.250 0.250 0.500 x4

Most stable structure, least stable structure: <one>, <two>.

<one>
Compound: CaInCl2
Source: Alexandria via LeMat-Bulk
Functional: PBE
Structure: relaxed

Results
Its crystal system is monoclinic. The calculation puts the density of states at the Fermi level at 1.95 states/eV/cell.

Lattice parameters (Å, degrees): 6.128 3.707 6.157 90.00 104.67 90.00
Space group P2/m (No. 10)
Asymmetric unit:
Ca1 0.000 0.000 0.000 x1
In1 0.500 0.000 0.500 x1
Cl1 0.195 0.500 0.803 x2

<two>
Compound: CaInCl2
Source: Alexandria via LeMat-Bulk
Functional: PBE
Structure: relaxed

Results
Its crystal system is cubic. The calculation puts the density of states at the Fermi level at 8.56 states/eV/cell.

Lattice parameters (Å, degrees): 7.459 7.459 7.459 90.00 90.00 90.00
Space group Fm-3m (No. 225)
Asymmetric unit:
Ca1 0.000 0.000 0.000 x4
In1 0.000 0.000 0.500 x4
Cl1 0.250 0.250 0.250 x8

<three>
Compound: CaInCl2
Source: Alexandria via LeMat-Bulk
Functional: PBE
Structure: relaxed

Results
Its crystal system is cubic. The calculation puts the density of states at the Fermi level at 12.72 states/eV/cell.

Lattice parameters (Å, degrees): 7.545 7.545 7.545 90.00 90.00 90.00
Space group F-43m (No. 216)
Asymmetric unit:
Ca1 0.000 0.000 0.000 x4
In1 0.250 0.250 0.250 x4
Cl1 0.000 0.000 0.500 x4
Cl2 0.250 0.250 0.750 x4

<four>
Compound: CaInCl2
Source: Alexandria via LeMat-Bulk
Functional: PBE
Structure: relaxed

Results
Its crystal system is tetragonal. The calculation puts the density of states at the Fermi level at 3.18 states/eV/cell.

Lattice parameters (Å, degrees): 4.223 4.223 12.183 90.00 90.00 90.00
Space group I-4m2 (No. 119)
Asymmetric unit:
Ca1 0.000 0.000 0.000 x2
In1 0.000 0.500 0.250 x2
Cl1 0.000 0.000 0.500 x2
Cl2 0.000 0.500 0.750 x2

Most stable structure, least stable structure: <one>, <three>.

<one>
Compound: CaInCl2
Source: Alexandria via LeMat-Bulk
Functional: PBE
Structure: relaxed

Results
Its crystal system is trigonal. The calculation puts the density of states at the Fermi level at 4.00 states/eV/cell.

Lattice parameters (Å, degrees): 3.9361 3.9361 31.4693 90.00 90.00 120.00
Space group R-3m (No. 166, hexagonal axes)
Asymmetric unit:
Ca1 0.0000 0.0000 0.0000 x3
In1 0.0000 0.0000 0.5000 x3
Cl1 0.0000 0.0000 0.3811 x6

<two>
Compound: CaInCl2
Source: Alexandria via LeMat-Bulk
Functional: PBE
Structure: relaxed

Results
Its crystal system is tetragonal. The calculation puts the density of states at the Fermi level at 1.13 states/eV/cell.

Lattice parameters (Å, degrees): 3.415 3.415 11.334 90.00 90.00 90.00
Space group P4/mmm (No. 123)
Asymmetric unit:
Ca1 0.000 0.000 0.000 x1
In1 0.000 0.000 0.500 x1
Cl1 0.500 0.500 0.139 x2

Most stable structure, least stable structure: <one>, <two>.

<one>
Compound: Ca3In5Cl12
Source: Alexandria via LeMat-Bulk
Functional: PBE
Structure: relaxed

Results
Its crystal system is cubic. The calculation puts the density of states at the Fermi level at 47.33 states/eV/cell.

Lattice parameters (Å, degrees): 17.247 17.247 17.247 90.00 90.00 90.00
Space group Ia-3d (No. 230)
Asymmetric unit:
Ca1 0.000 0.250 0.125 x24
In1 0.000 0.000 0.000 x16
In2 0.000 0.250 0.375 x24
Cl1 0.020 0.088 0.647 x96

<two>
Compound: Ca3In5Cl12
Source: Alexandria via LeMat-Bulk
Functional: PBE
Structure: relaxed

Results
Its crystal system is hexagonal. The calculation puts the density of states at the Fermi level at 7.52 states/eV/cell.

Lattice parameters (Å, degrees): 12.7125 12.7125 4.1847 90.00 90.00 120.00
Space group P-62m (No. 189)
Asymmetric unit:
Ca1 0.0000 0.3278 0.0000 x3
In1 0.0000 0.7080 0.5000 x3
In2 0.3333 0.6667 0.5000 x2
Cl1 0.0000 0.1855 0.5000 x3
Cl2 0.0000 0.4684 0.5000 x3
Cl3 0.1995 0.7483 0.0000 x6

Most stable structure, least stable structure: <two>, <one>.

<one>
Compound: CaInP2Cl
Source: Alexandria via LeMat-Bulk
Functional: PBE
Structure: relaxed

Results
Its crystal system is tetragonal. The calculation puts the density of states at the Fermi level at 3.09 states/eV/cell.

Lattice parameters (Å, degrees): 5.642 5.642 5.342 90.00 90.00 90.00
Space group P4/mmm (No. 123)
Asymmetric unit:
Ca1 0.000 0.000 0.000 x1
In1 0.500 0.500 0.500 x1
P1 0.000 0.500 0.000 x2
Cl1 0.000 0.000 0.500 x1

<two>
Compound: CaInP2Cl
Source: Alexandria via LeMat-Bulk
Functional: PBE
Structure: relaxed

Results
Its crystal system is tetragonal. The calculation puts the density of states at the Fermi level at 3.20 states/eV/cell.

Lattice parameters (Å, degrees): 5.171 5.171 5.569 90.00 90.00 90.00
Space group P4/mmm (No. 123)
Asymmetric unit:
Ca1 0.000 0.000 0.000 x1
In1 0.500 0.500 0.500 x1
P1 0.000 0.500 0.500 x2
Cl1 0.500 0.500 0.000 x1

Most stable structure, least stable structure: <two>, <one>.

<one>
Compound: CaIrCl2
Source: Alexandria via LeMat-Bulk
Functional: PBE
Structure: relaxed

Results
Its crystal system is monoclinic. The calculation puts the density of states at the Fermi level at 3.76 states/eV/cell.

Lattice parameters (Å, degrees): 15.426 3.216 3.991 90.00 104.92 90.00
Space group Cm (No. 8)
Asymmetric unit:
Ca1 0.000 0.000 0.000 x2
Ir1 0.159 0.500 0.158 x2
Cl1 0.161 0.000 0.660 x2
Cl2 0.420 0.000 0.421 x2

<two>
Compound: CaIrCl2
Source: Alexandria via LeMat-Bulk
Functional: PBE
Structure: relaxed

Results
Its crystal system is tetragonal. The calculation puts the density of states at the Fermi level at 1.39 states/eV/cell.

Lattice parameters (Å, degrees): 3.474 3.474 7.990 90.00 90.00 90.00
Space group P4mm (No. 99)
Asymmetric unit:
Ca1 0.000 0.000 0.000 x1
Ir1 0.500 0.500 0.718 x1
Cl1 0.000 0.000 0.661 x1
Cl2 0.500 0.500 0.178 x1

Most stable structure, least stable structure: <one>, <two>.

<one>
Compound: CaIrCl6
Source: Alexandria via LeMat-Bulk
Functional: PBE
Structure: relaxed

Results
Its crystal system is monoclinic. The calculation puts the density of states at the Fermi level at 15.68 states/eV/cell.

Lattice parameters (Å, degrees): 8.321 10.703 6.708 90.00 113.86 90.00
Space group C2/m (No. 12)
Asymmetric unit:
Ca1 0.000 0.000 0.000 x2
Ir1 0.000 0.000 0.500 x2
Cl1 0.125 0.155 0.767 x8
Cl2 0.249 0.500 0.577 x4

<two>
Compound: CaIrCl6
Source: Alexandria via LeMat-Bulk
Functional: PBE
Structure: relaxed

Results
Its crystal system is trigonal. The calculation puts the density of states at the Fermi level at 21.92 states/eV/cell.

Lattice parameters (Å, degrees): 6.3623 6.3623 17.2861 90.00 90.00 120.00
Space group R-3 (No. 148, hexagonal axes)
Asymmetric unit:
Ca1 0.0000 0.0000 0.0000 x3
Ir1 0.0000 0.0000 0.5000 x3
Cl1 0.0199 0.3764 0.0894 x18

Most stable structure, least stable structure: <one>, <two>.